First-principles (PBE) data for a relaxed Li2InF crystal, as listed in the Alexandria database.

The space group is Fm-3m (No. 225) and the conventional cell measures 6.626, 6.626 and 6.626 Å, with angles of 90.00, 90.00 and 90.00 degrees. The distinct sites, in fractional coordinates, are Li at (0.250, 0.250, 0.250), In at (0.000, 0.000, 0.000) and F at (0.000, 0.000, 0.500).

The total DFT energy (no corrections) comes out at -2.787 eV/atom. For the total magnetic moment, the calculation gives 0.00 Bohr magnetons per cell. The energy relative to the elements, uncorrected comes out at -678 meV/atom.

---

First-principles (PBE) data for a relaxed LiIn3F crystal, as listed in the Alexandria database.

The space group is Pm-3m (No. 221) and the conventional cell measures 4.987, 4.987 and 4.987 Å, with angles of 90.00, 90.00 and 90.00 degrees. The distinct sites, in fractional coordinates, are Li at (0.000, 0.000, 0.000), In at (0.000, 0.000, 0.500) and F at (0.500, 0.500, 0.500).

The total DFT energy (no corrections) comes out at -2.655 eV/atom. For the total magnetic moment, the calculation gives 0.00 Bohr magnetons per cell. The energy relative to the elements, uncorrected comes out at -255 meV/atom.

---

First-principles (PBE) data for a relaxed LiInF crystal, as listed in the Alexandria database.

The space group is C2/m (No. 12) and the conventional cell measures 4.328, 4.032 and 11.814 Å, with angles of 90.00, 93.56 and 90.00 degrees. The distinct sites, in fractional coordinates, are Li at (0.237, 0.000, 0.418), In at (0.224, 0.500, 0.122) and F at (0.235, 0.500, 0.413).

The total DFT energy (no corrections) comes out at -3.993 eV/atom. For the total magnetic moment, the calculation gives 0.00 Bohr magnetons per cell. The energy relative to the elements, uncorrected comes out at -1819 meV/atom.

---

First-principles (PBE) data for a relaxed LiInF3 crystal, as listed in the Alexandria database.

The space group is Pm-3m (No. 221) and the conventional cell measures 3.824, 3.824 and 3.824 Å, with angles of 90.00, 90.00 and 90.00 degrees. The distinct sites, in fractional coordinates, are Li at (0.000, 0.000, 0.000), In at (0.500, 0.500, 0.500) and F at (0.000, 0.000, 0.500).

The total DFT energy (no corrections) comes out at -4.293 eV/atom. For the total magnetic moment, the calculation gives 0.00 Bohr magnetons per cell. The energy relative to the elements, uncorrected comes out at -2240 meV/atom.